Entry from the Open Quantum Materials Database: an optimized crystal structure of Y2Ga3Mo4C3 (GGA-PBE).

Cell lengths 5.525, 5.525, 14.010 Å; angles 102.04, 102.04, 60.15 degrees
Fractional coordinates of all 24 atoms:
C: 0.500 0.000 0.000
C: 0.154 0.673 0.000
C: 0.327 0.846 0.500
C: 0.000 0.500 0.500
C: 0.673 0.154 0.500
C: 0.846 0.327 0.000
Ga: 0.101 0.412 0.248
Ga: 0.071 0.929 0.250
Ga: 0.588 0.899 0.252
Ga: 0.412 0.101 0.748
Ga: 0.929 0.071 0.750
Ga: 0.899 0.588 0.752
Mo: 0.848 0.695 0.077
Mo: 0.206 0.016 0.077
Mo: 0.984 0.794 0.423
Mo: 0.305 0.152 0.423
Mo: 0.695 0.848 0.577
Mo: 0.016 0.206 0.577
Mo: 0.794 0.984 0.923
Mo: 0.152 0.305 0.923
Y: 0.542 0.380 0.118
Y: 0.620 0.458 0.382
Y: 0.380 0.542 0.618
Y: 0.458 0.620 0.882

Summary:
**Total DFT energy (no corrections)**: -8.144 eV/atom

***

Entry from the Open Quantum Materials Database: an optimized crystal structure of ErZnSi (GGA-PBE).

Cell lengths 4.461, 4.461, 4.461 Å; angles 60.00, 60.00, 60.00 degrees
Fractional coordinates of all 3 atoms:
Er: 0.250 0.250 0.250
Si: 0.000 0.000 0.000
Zn: 0.750 0.750 0.750

Summary:
**Total DFT energy (no corrections)**: -4.040 eV/atom

***

Entry from the Open Quantum Materials Database: an optimized crystal structure of LiZnCu4Ge2 (GGA-PBE).

Cell lengths 4.236, 4.236, 5.950 Å; angles 90.00, 90.00, 90.00 degrees
Fractional coordinates of all 8 atoms:
Cu: 0.500 0.000 0.244
Cu: 0.000 0.500 0.244
Cu: 0.500 0.000 0.756
Cu: 0.000 0.500 0.756
Ge: 0.000 0.000 0.000
Ge: 0.500 0.500 0.500
Li: 0.500 0.500 0.000
Zn: 0.000 0.000 0.500

Summary:
**Total DFT energy (no corrections)**: -3.472 eV/atom

***

Entry from the Open Quantum Materials Database: an optimized crystal structure of Pr2In (GGA-PBE).

Cell lengths 6.488, 6.488, 6.488 Å; angles 60.00, 60.00, 60.00 degrees
Fractional coordinates of all 6 atoms:
In: 0.000 0.000 0.000
In: 0.250 0.250 0.250
Pr: 0.625 0.625 0.125
Pr: 0.625 0.125 0.625
Pr: 0.125 0.625 0.625
Pr: 0.625 0.625 0.625

Summary:
**Total DFT energy (no corrections)**: -3.987 eV/atom

***

Entry from the Open Quantum Materials Database: an optimized crystal structure of HfTa2Sb (GGA-PBE).

Cell lengths 4.805, 4.805, 4.805 Å; angles 60.00, 60.00, 60.00 degrees
Fractional coordinates of all 4 atoms:
Hf: 0.250 0.250 0.250
Sb: 0.500 0.500 0.500
Ta: 0.000 0.000 0.000
Ta: 0.750 0.750 0.750

Summary:
**Total DFT energy (no corrections)**: -9.338 eV/atom

***

Entry from the Open Quantum Materials Database: an optimized crystal structure of Sn2Pt2Pb (GGA-PBE).

Cell lengths 4.477, 4.477, 13.183 Å; angles 90.00, 90.00, 120.00 degrees
Fractional coordinates of all 10 atoms:
Pb: 0.000 0.000 0.250
Pb: 0.000 0.000 0.750
Pt: 0.333 0.667 0.139
Pt: 0.333 0.667 0.361
Pt: 0.667 0.333 0.639
Pt: 0.667 0.333 0.861
Sn: 0.667 0.333 0.072
Sn: 0.667 0.333 0.428
Sn: 0.333 0.667 0.572
Sn: 0.333 0.667 0.928

Summary:
**Total DFT energy (no corrections)**: -5.182 eV/atom

***

Entry from the Open Quantum Materials Database: an optimized crystal structure of Tm3BiS2 (GGA-PBE).

Cell lengths 4.026, 4.026, 9.873 Å; angles 90.00, 90.00, 120.00 degrees
Fractional coordinates of all 6 atoms:
Bi: 0.000 0.000 0.000
S: 0.333 0.667 0.349
S: 0.667 0.333 0.651
Tm: 0.667 0.333 0.203
Tm: 0.000 0.000 0.500
Tm: 0.333 0.667 0.797

Summary:
**Total DFT energy (no corrections)**: -5.778 eV/atom

***

Entry from the Open Quantum Materials Database: an optimized crystal structure of BaErAs (GGA-PBE).

Cell lengths 5.368, 5.368, 5.368 Å; angles 60.00, 60.00, 60.00 degrees
Fractional coordinates of all 3 atoms:
As: 0.250 0.250 0.250
Ba: 0.000 0.000 0.000
Er: 0.750 0.750 0.750

Summary:
**Total DFT energy (no corrections)**: -3.350 eV/atom